No. 1
Ca4SnS6 | GGA-PBE | optimized geometry

raw formation energy	-1.5471	eV/atom
raw total energy	-4.8902	eV per atom

The structure in POSCAR format:
```
Ca4SnS6
1.0
5.590 -5.657 0.004
5.590 5.657 0.004
-0.139 0.000 7.952
Ca Sn S
8 2 12
direct
0.750 0.750 0.750
0.250 0.250 0.250
0.636 0.864 0.250
0.864 0.250 0.636
0.250 0.636 0.864
0.136 0.750 0.364
0.750 0.364 0.136
0.364 0.136 0.750
0.500 0.500 0.500
0.000 0.000 0.000
0.450 0.812 0.563
0.812 0.563 0.450
0.563 0.450 0.812
0.950 0.063 0.312
0.063 0.312 0.950
0.312 0.950 0.063
0.550 0.188 0.437
0.188 0.437 0.550
0.437 0.550 0.188
0.050 0.937 0.688
0.937 0.688 0.050
0.688 0.050 0.937
```


No. 2
SrLi2Tb2Tl2 | GGA-PBE | optimized geometry

calculated formation energy	-0.19	eV per atom
raw total energy	-2.9752	eV per atom

The structure in POSCAR format:
```
SrLi2Tb2Tl2
1.0
-4.915 0.062 -0.610
-2.042 -2.287 -3.891
-3.052 -8.742 3.588
Sr Li Tb Tl
1 2 2 2
direct
0.000 0.000 0.000
0.590 0.590 0.231
0.410 0.410 0.769
0.130 0.130 0.609
0.870 0.870 0.391
0.750 0.750 0.751
0.250 0.250 0.249
```


No. 3
KLi2Y | GGA-PBE | optimized geometry

calculated formation energy	0.45	eV per atom
raw total energy	-2.3964	eV per atom

The structure in POSCAR format:
```
KLi2Y
1.0
-4.669 -4.574 1.606
0.808 -3.959 5.384
0.367 6.529 -1.597
K Li Y
1 2 1
direct
0.750 0.250 0.500
0.000 0.000 0.000
0.250 0.750 0.500
0.500 0.500 0.000
```


No. 4
Hf3Sn2 | GGA-PBE | optimized geometry

calculated formation energy	-0.18	eV per atom
raw total energy	-7.7513	eV per atom

The structure in POSCAR format:
```
Hf3Sn2
1.0
-3.165 -2.307 3.107
-4.119 -2.189 -1.798
0.142 -5.838 -0.168
Hf Sn
3 2
direct
0.000 0.000 0.000
0.801 0.801 0.598
0.199 0.199 0.402
0.403 0.403 0.792
0.597 0.597 0.208
```


No. 5
U2FeP | GGA-PBE | optimized geometry

calculated formation energy	-0.31	eV per atom
raw total energy	-9.4204	eV per atom
offset from the most stable computed form	0	meV/atom

The structure in POSCAR format:
```
U2FeP
1.0
-4.436 -3.374 -0.164
0.618 -5.488 1.391
-2.704 -1.288 4.843
U Fe P
4 2 2
direct
0.209 0.291 0.791
0.291 0.709 0.209
0.791 0.709 0.209
0.709 0.291 0.791
0.250 0.201 0.299
0.750 0.799 0.701
0.750 0.191 0.309
0.250 0.809 0.691
```


No. 6
Np2ZnTc | GGA-PBE | optimized geometry

calculated formation energy	0.21	eV per atom
raw total energy	-9.1751	eV per atom

The structure in POSCAR format:
```
Np2ZnTc
1.0
-0.230 -1.975 -2.416
-0.758 -2.315 1.964
-7.933 1.912 -0.808
Np Zn Tc
2 1 1
direct
0.000 0.000 0.774
0.000 0.000 0.226
0.500 0.500 0.500
0.500 0.500 0.000
```


No. 7
Np3TeP2Rh9 | GGA-PBE | optimized geometry

raw formation energy	-0.2475	eV/atom
raw total energy	-8.1773	eV per atom

The structure in POSCAR format:
```
Np3TeP2Rh9
1.0
-2.869 4.220 4.962
-1.124 -7.025 0.219
5.308 -0.734 3.694
Np Te P Rh
3 1 2 9
direct
0.333 0.667 0.694
0.000 0.000 0.000
0.667 0.333 0.306
0.000 0.000 0.500
0.333 0.667 0.136
0.667 0.333 0.864
0.804 0.196 0.633
0.804 0.607 0.633
0.393 0.196 0.633
0.607 0.804 0.367
0.196 0.393 0.367
0.196 0.804 0.367
0.500 0.000 0.000
0.000 0.500 0.000
0.500 0.500 0.000
```


No. 8
YTl2CdF6 | GGA-PBE | optimized geometry

raw formation energy	-2.5558	eV/atom
raw total energy	-4.8897	eV per atom

The structure in POSCAR format:
```
YTl2CdF6
1.0
-6.013 1.116 -2.258
-0.332 -6.122 -2.143
-3.529 -2.642 8.092
Y Tl Cd F
2 4 2 12
direct
0.500 0.250 0.500
0.000 0.750 0.000
0.500 0.750 0.250
0.000 0.250 0.750
0.500 0.750 0.750
0.000 0.250 0.250
0.000 0.750 0.500
0.500 0.250 0.000
0.500 0.250 0.262
0.500 0.250 0.738
0.000 0.750 0.238
0.000 0.750 0.762
0.262 0.011 0.500
0.738 0.011 0.500
0.262 0.489 0.500
0.738 0.489 0.500
0.762 0.511 0.000
0.238 0.511 0.000
0.238 0.989 0.000
0.762 0.989 0.000
```


No. 9
Pr2HgN | GGA-PBE | optimized geometry

raw formation energy	-0.3814	eV/atom
raw total energy	-4.9280	eV per atom
offset from the most stable computed form	425	meV/atom

The structure in POSCAR format:
```
Pr2HgN
1.0
-1.274 2.606 1.426
-2.902 -1.425 0.012
1.638 -3.272 7.442
Pr Hg N
2 1 1
direct
0.000 0.000 0.819
0.000 0.000 0.181
0.500 0.500 0.500
0.500 0.500 0.000
```


No. 10
CdMoRu2 | GGA-PBE | optimized geometry

calculated formation energy	0.31	eV per atom
raw total energy	-7.2635	eV per atom

The structure in POSCAR format:
```
CdMoRu2
1.0
-0.332 -3.374 -3.405
1.368 -4.390 -1.395
-3.797 -2.786 1.802
Cd Mo Ru
1 1 2
direct
0.750 0.750 0.750
0.250 0.250 0.250
0.987 0.987 0.035
0.513 0.513 0.465
```


No. 11
KIrOs | GGA-PBE | optimized geometry

calculated formation energy	2.08	eV per atom
raw total energy	-4.9800	eV per atom
offset from the most stable computed form	1616	meV/atom

The structure in POSCAR format:
```
KIrOs
1.0
5.016 -2.896 0.000
0.000 5.792 0.000
0.000 0.000 9.219
K Ir Os
2 2 2
direct
0.333 0.667 0.250
0.667 0.333 0.750
0.000 0.000 0.000
0.000 0.000 0.500
0.000 0.000 0.250
0.000 0.000 0.750
```


No. 12
InFe2Se | GGA-PBE | optimized geometry

raw formation energy	0.2735	eV/atom
raw total energy	-5.5136	eV per atom
offset from the most stable computed form	202	meV/atom

The structure in POSCAR format:
```
InFe2Se
1.0
3.067 0.000 0.000
0.000 3.066 0.000
0.000 0.000 6.559
Fe In Se
2 1 1
direct
0.000 0.000 0.955
0.000 0.000 0.545
0.500 0.500 0.250
0.500 0.500 0.750
```


No. 13
Ta2AlW | GGA-PBE | optimized geometry

calculated formation energy	0.17	eV per atom
raw total energy	-9.9271	eV per atom

The structure in POSCAR format:
```
Ta2AlW
1.0
-4.172 6.805 -5.920
-2.525 5.517 -7.871
-5.112 4.462 -7.263
Al W Ta
1 1 2
direct
0.750 0.750 0.750
0.250 0.250 0.250
0.002 0.002 0.002
0.498 0.498 0.498
```


No. 14
AgAu | GGA-PBE | optimized geometry

calculated formation energy	0.00	eV per atom
raw total energy	-3.0613	eV per atom

The structure in POSCAR format:
```
AgAu
1.0
-5.262 0.069 -1.744
-2.640 -5.116 7.760
-0.872 4.723 2.818
Ag Au
8 8
direct
0.000 0.214 0.401
0.000 0.786 0.599
0.500 0.214 0.099
0.500 0.786 0.901
0.500 0.714 0.401
0.500 0.286 0.599
0.000 0.714 0.099
0.000 0.286 0.901
0.250 0.964 0.250
0.250 0.036 0.750
0.750 0.036 0.750
0.750 0.964 0.250
0.750 0.464 0.250
0.750 0.536 0.750
0.250 0.536 0.750
0.250 0.464 0.250
```


No. 15
LaPmNd6Er2 | GGA-PBE | optimized geometry

calculated formation energy	0.11	eV per atom
raw total energy	-4.6296	eV per atom

The structure in POSCAR format:
```
LaPmNd6Er2
1.0
9.319 -2.134 -2.215
0.851 8.705 -1.992
0.851 -2.313 8.626
La Pm Nd Er
2 2 12 4
direct
0.250 0.405 0.595
0.750 0.595 0.405
0.250 0.968 0.032
0.750 0.032 0.968
0.056 0.108 0.758
0.444 0.242 0.892
0.944 0.892 0.242
0.556 0.758 0.108
0.319 0.982 0.435
0.181 0.565 0.018
0.681 0.018 0.565
0.819 0.435 0.982
0.120 0.703 0.488
0.380 0.512 0.297
0.880 0.297 0.512
0.620 0.488 0.703
0.452 0.804 0.708
0.048 0.292 0.196
0.548 0.196 0.292
0.952 0.708 0.804
```


No. 16
TbPaSi4 | GGA-PBE | optimized geometry

raw formation energy	-0.5402	eV/atom
raw total energy	-6.5099	eV per atom
offset from the most stable computed form	0	meV/atom

The structure in POSCAR format:
```
TbPaSi4
1.0
-3.064 -2.522 -0.032
1.559 -1.855 -3.142
4.351 -2.238 5.985
Tb Pa Si
1 1 4
direct
0.250 0.750 0.500
0.000 0.000 0.000
0.667 0.167 0.334
0.581 0.581 0.162
0.833 0.333 0.666
0.419 0.419 0.838
```


No. 17
Er8Al2Ag | GGA-PBE | optimized geometry

calculated formation energy	-0.16	eV per atom
raw total energy	-4.4170	eV per atom

The structure in POSCAR format:
```
Er8Al2Ag
1.0
5.034 0.000 0.000
0.000 6.674 0.345
-2.517 -2.440 8.750
Er Al Ag
8 2 1
direct
0.405 0.535 0.811
0.657 0.967 0.314
0.794 0.699 0.589
0.977 0.234 0.955
0.206 0.301 0.411
0.343 0.033 0.686
0.595 0.465 0.189
0.023 0.766 0.045
0.810 0.256 0.620
0.190 0.744 0.380
0.500 0.000 0.000
```


No. 18
CaTl2Ru | GGA-PBE | optimized geometry

calculated formation energy	0.13	eV per atom
raw total energy	-3.8685	eV per atom

The structure in POSCAR format:
```
CaTl2Ru
1.0
0.027 -4.824 2.481
1.020 -5.229 -1.020
4.970 -1.120 1.540
Ru Tl Ca
1 2 1
direct
0.250 0.250 0.250
0.973 0.973 0.041
0.527 0.527 0.459
0.750 0.750 0.750
```


No. 19
HClF | GGA-PBE | optimized geometry

raw total energy	-2.6806	eV per atom
offset from the most stable computed form	629	meV/atom

The structure in POSCAR format:
```
HClF
1.0
-0.061 -1.595 3.494
2.480 -1.301 -2.662
5.106 7.336 3.438
H F Cl
2 2 2
direct
0.543 0.086 0.367
0.457 0.914 0.633
0.953 0.906 0.062
0.047 0.094 0.938
0.351 0.703 0.312
0.649 0.297 0.688
```


No. 20
BaSrCo2H | GGA-PBE | optimized geometry

raw total energy	-3.4659	eV per atom
offset from the most stable computed form	0	meV/atom

The structure in POSCAR format:
```
BaSrCo2H
1.0
4.719 0.000 0.000
0.000 4.739 0.000
0.000 0.000 4.719
Sr Co Ba H
1 2 1 1
direct
0.500 0.500 0.500
0.000 0.000 0.500
0.500 0.000 0.000
0.000 0.500 0.000
0.000 0.000 0.000
```


No. 21
Er5Tm8Zr | GGA-PBE | optimized geometry

calculated formation energy	0.23	eV per atom
raw total energy	-4.5688	eV per atom

The structure in POSCAR format:
```
Er5Tm8Zr
1.0
-8.373 -0.610 1.321
-1.766 -0.303 -8.454
5.342 -5.435 3.761
Er Tm Zr
5 8 1
direct
0.876 0.257 0.033
0.053 0.041 0.290
0.777 0.743 0.619
0.490 0.000 0.490
0.248 0.959 0.012
0.071 0.579 0.015
0.970 0.086 0.646
0.792 0.310 0.415
0.695 0.670 0.102
0.431 0.330 0.024
0.559 0.914 0.883
0.436 0.421 0.492
0.105 0.690 0.482
0.247 0.500 0.747
```


No. 22
Pr2DyTmTh | GGA-PBE | optimized geometry

calculated formation energy	0.30	eV per atom
raw total energy	-4.9108	eV per atom

The structure in POSCAR format:
```
Pr2DyTmTh
1.0
-1.552 7.657 -1.518
-5.924 -1.850 -3.278
-3.084 0.432 5.331
Pr Dy Tm Th
4 2 2 2
direct
0.672 0.721 0.750
0.672 0.279 0.750
0.328 0.721 0.250
0.328 0.279 0.250
0.000 0.000 0.000
0.000 0.000 0.500
0.132 0.500 0.750
0.868 0.500 0.250
0.634 0.000 0.250
0.366 0.000 0.750
```


No. 23
ZnInBr3 | GGA-PBE | optimized geometry

raw formation energy	-0.7870	eV/atom
raw total energy	-2.5932	eV per atom
offset from the most stable computed form	6	meV/atom

The structure in POSCAR format:
```
ZnInBr3
1.0
7.657 0.000 -0.002
0.000 10.860 0.000
-7.390 0.000 9.230
Zn Br In
4 12 4
direct
0.214 0.349 0.223
0.214 0.651 0.223
0.214 0.849 0.723
0.214 0.151 0.723
0.458 0.000 0.924
0.458 0.500 0.424
0.424 0.190 0.218
0.424 0.810 0.218
0.424 0.690 0.718
0.424 0.310 0.718
0.914 0.710 0.223
0.914 0.290 0.223
0.914 0.210 0.723
0.914 0.790 0.723
0.055 0.000 0.517
0.055 0.500 0.017
0.580 0.000 0.481
0.580 0.500 0.981
0.035 0.000 0.970
0.035 0.500 0.470
```